{
  "formula": "Cr5Pt4",
  "functional": "PBE",
  "state": "optimized geometry",
  "delta_e_f_ev_per_atom": -0.08,
  "energy_ev_per_fu": -73.00,
  "cell": [[-7.3265, -1.5664, -0.2157], [-2.9065, -3.5187, -5.9454], [0.9568, -4.8022, 2.3744]],
  "species": ["Cr", "Cr", "Cr", "Pt", "Pt", "Pt", "Cr", "Pt", "Cr", "Cr", "Cr", "Pt", "Pt", "Cr", "Cr", "Pt", "Pt", "Cr"],
  "fractional_positions": [[0.6695, 0.0000, 0.2500], [0.6667, 0.6667, 0.5000], [0.0000, 0.6695, 0.7500], [0.0000, 0.3412, 0.7500], [0.3412, 0.6588, 0.7500], [0.6588, 0.3412, 0.2500], [0.3333, 0.3333, 0.0000], [0.0000, 0.6588, 0.2500], [0.3333, 0.3333, 0.5000], [0.0000, 0.3305, 0.2500], [0.3305, 0.0000, 0.7500], [0.3412, 0.0000, 0.2500], [0.0000, 0.0000, 0.0000], [0.3305, 0.6695, 0.2500], [0.6695, 0.3305, 0.7500], [0.0000, 0.0000, 0.5000], [0.6588, 0.0000, 0.7500], [0.6667, 0.6667, 0.0000]]
}


{
  "formula": "Cr5Pt",
  "functional": "PBE",
  "state": "optimized geometry",
  "delta_e_f_ev_per_atom": 0.00,
  "energy_ev_per_fu": -54.13,
  "cell": [[2.9066, 0.0000, 0.0000], [0.0000, 2.9066, 0.0000], [0.0000, 0.0000, 9.0644]],
  "species": ["Cr", "Cr", "Cr", "Cr", "Cr", "Pt"],
  "fractional_positions": [[0.5000, 0.5000, 0.6590], [0.0000, 0.0000, 0.1945], [0.5000, 0.5000, 0.3410], [0.0000, 0.0000, 0.8055], [0.0000, 0.0000, 0.5000], [0.5000, 0.5000, 0.0000]]
}